LiCrNiRh after structural relaxation, computed with GGA-PBE.

Results
The value obtained for the volume is 48 Å³ per cell. The value obtained for the formation energy is -0.020 eV per atom. Its total moment is 0.517 μB per atom.

abc: 4.0930 4.0930 4.0930
angles: 60.00 60.00 60.00
Closest atoms and distances in Å follow each position.
Fractional positions:
1 Rh 0.5000 0.5000 0.5000  4 Li 2.51, 4 Cr 2.51
2 Li 0.2500 0.2500 0.2500  4 Ni 2.51, 4 Rh 2.51
3 Cr 0.7500 0.7500 0.7500  4 Rh 2.51, 4 Ni 2.51
4 Ni 0.0000 0.0000 0.0000  4 Cr 2.51, 4 Li 2.51